--- P ---
A relaxed structure of Cd3PtS. Source: Alexandria, functional PBE.

The structure belongs to space group Pm-3m (No. 221); the cell edges are 5.1733, 5.1733 and 5.1733 Å and the angles 90.00°, 90.00° and 90.00°. The inequivalent atoms are Cd at (0.0000, 0.0000, 0.5000), Pt at (0.0000, 0.0000, 0.0000) and S at (0.5000, 0.5000, 0.5000).

The value obtained for the volume is 138.45 Å³ per cell. As for the density of states at the Fermi level: 4.15 states/eV per cell.

=====

--- Q ---
A relaxed structure of Cd3PtS. Source: Alexandria, functional PBE.

The structure belongs to space group Pm-3m (No. 221); the cell edges are 4.9686, 4.9686 and 4.9686 Å and the angles 90.00°, 90.00° and 90.00°. The inequivalent atoms are Cd at (0.0000, 0.0000, 0.5000), Pt at (0.5000, 0.5000, 0.5000) and S at (0.0000, 0.0000, 0.0000).

The value obtained for the volume is 122.66 Å³ per cell. As for the density of states at the Fermi level: 2.95 states/eV per cell.

=====

Energies in eV/atom, measured from the most stable structure: P 0.000; Q 0.313.

=====

--- P ---
A relaxed structure of CdSbPt3. Source: Alexandria, functional PBE.

The structure belongs to space group Pm-3m (No. 221); the cell edges are 4.9362, 4.9362 and 4.9362 Å and the angles 90.00°, 90.00° and 90.00°. The inequivalent atoms are Cd at (0.0000, 0.0000, 0.0000), Sb at (0.5000, 0.5000, 0.5000) and Pt at (0.0000, 0.0000, 0.5000).

The value obtained for the volume is 120.28 Å³ per cell. As for the density of states at the Fermi level: 2.67 states/eV per cell.

=====

--- Q ---
A relaxed structure of CdSbPt3. Source: Alexandria, functional PBE.

The structure belongs to space group Pm-3m (No. 221); the cell edges are 4.9491, 4.9491 and 4.9491 Å and the angles 90.00°, 90.00° and 90.00°. The inequivalent atoms are Cd at (0.0000, 0.0000, 0.0000), Sb at (0.5000, 0.5000, 0.5000) and Pt at (0.0000, 0.5000, 0.5000).

The value obtained for the volume is 121.22 Å³ per cell. As for the density of states at the Fermi level: 3.98 states/eV per cell.

=====

Energies in eV/atom, measured from the most stable structure: P 0.461; Q 0.000.

=====

--- P ---
A relaxed structure of ScCdPt3. Source: Alexandria, functional PBE.

The structure belongs to space group P6_3/mmc (No. 194); the cell edges are 6.6605, 6.6605 and 5.1339 Å and the angles 90.00°, 90.00° and 120.00°. The inequivalent atoms are Sc at (0.3333, 0.6667, 0.2500), Cd at (0.0000, 0.0000, 0.0000) and Pt at (0.2035, 0.4069, 0.7500).

The value obtained for the volume is 197.24 Å³ per cell. As for the density of states at the Fermi level: 5.60 states/eV per cell.

=====

--- Q ---
A relaxed structure of ScCdPt3. Source: Alexandria, functional PBE.

The structure belongs to space group Pm-3m (No. 221); the cell edges are 4.8268, 4.8268 and 4.8268 Å and the angles 90.00°, 90.00° and 90.00°. The inequivalent atoms are Sc at (0.0000, 0.0000, 0.0000), Cd at (0.5000, 0.5000, 0.5000) and Pt at (0.0000, 0.0000, 0.5000).

The value obtained for the volume is 112.46 Å³ per cell. As for the density of states at the Fermi level: 2.91 states/eV per cell.

=====

Energies in eV/atom, measured from the most stable structure: P 0.000; Q 0.680.

=====

--- P ---
A relaxed structure of Sc2Cd2Pt. Source: Alexandria, functional PBE.

The structure belongs to space group I4/mmm (No. 139); the cell edges are 3.2843, 3.2843 and 19.0206 Å and the angles 90.00°, 90.00° and 90.00°. The inequivalent atoms are Sc at (0.0000, 0.0000, 0.0857), Cd at (0.0000, 0.0000, 0.3030) and Pt at (0.0000, 0.0000, 0.5000).

The value obtained for the volume is 205.16 Å³ per cell. As for the density of states at the Fermi level: 6.27 states/eV per cell.

=====

--- Q ---
A relaxed structure of Sc2Cd2Pt. Source: Alexandria, functional PBE.

The structure belongs to space group P4/mbm (No. 127); the cell edges are 7.2767, 7.2767 and 3.9437 Å and the angles 90.00°, 90.00° and 90.00°. The inequivalent atoms are Sc at (0.1713, 0.3287, 0.0000), Cd at (0.1344, 0.6344, 0.5000) and Pt at (0.0000, 0.0000, 0.5000).

The value obtained for the volume is 208.82 Å³ per cell. As for the density of states at the Fermi level: 11.25 states/eV per cell.

=====

Energies in eV/atom, measured from the most stable structure: P 0.000; Q 0.333.